No. 1
This record from Alexandria describes a geometry-optimized La2DySn2 structure. The functional is PBE-GGA.

Cell: 4.8417 6.9096 10.6511 Å, 79.21 76.86 69.49°
Fractional coordinates of all 10 atoms:
Sn  0.0290  0.8304  0.1117
Dy  0.2149  0.9305  0.6396
Sn  0.9710  0.1696  0.8883
Dy  0.7851  0.0695  0.3604
La  0.6832  0.7275  0.9060
Sn  0.1293  0.3151  0.4264
La  0.4892  0.3418  0.6798
Sn  0.8707  0.6849  0.5736
La  0.5108  0.6582  0.3202
La  0.3168  0.2725  0.0940

Computed properties:
Energy relative to the elements (eV per atom): -0.666
V (Å³ per cell): 322.7
Energy relative to the lowest polymorph listed for this composition (eV/f.u.): 0.36


No. 2
This record from Alexandria describes a geometry-optimized InOsW structure. The functional is PBE-GGA.

Cell: 2.9098 2.9098 6.9655 Å, 90.00 90.00 120.00°
Fractional coordinates of all 3 atoms:
W  0.3333  0.6667  0.6447
Os  0.6667  0.3333  0.3508
In  0.0000  0.0000  0.0045

Computed properties:
Energy relative to the elements (eV per atom): 0.371
V (Å³ per cell): 51.1
Energy relative to the lowest polymorph listed for this composition (eV/f.u.): 0.27